Record 1
Computed, not measured: a geometry-optimized BaAsSeBr2 structure at the PBE level of DFT.

a = 5.5619 Å, b = 5.5619 Å, c = 5.1806 Å
α = 90.00°, β = 90.00°, γ = 90.00°
Fractional positions:
As 0.0000 0.0000 0.5000
Se 0.0000 0.0000 0.0000
Ba 0.5000 0.5000 0.5000
Br 0.0000 0.5000 0.0000
Br 0.5000 0.0000 0.0000

Calculated values
Volume in Å³/cell: 160.3
Electronic total energy in eV/atom: -3.2393
Symmetry: P4/mmm (123)
Crystal system: tetragonal
Energy relative to the elements, uncorrected in eV per atom: -0.559
Relative energy among the computed polymorphs in meV/atom: 381



Record 2
Computed, not measured: a geometry-optimized TaAs2Ru structure at the PBE level of DFT.

a = 4.4264 Å, b = 4.4264 Å, c = 3.1629 Å
α = 90.00°, β = 90.00°, γ = 90.00°
Fractional positions:
Ru 0.5000 0.0000 0.5000
As 0.0000 0.0000 0.0000
As 0.5000 0.5000 0.0000
Ta 0.0000 0.5000 0.5000

Calculated values
Volume in Å³/cell: 62.0
Electronic total energy in eV/atom: -7.8123
Symmetry: P4/mmm (123)
Crystal system: tetragonal
Relative energy among the computed polymorphs in meV/atom: 6



Record 3
Computed, not measured: a geometry-optimized Tl2GeHO4 structure at the PBE level of DFT.

a = 6.5469 Å, b = 5.2676 Å, c = 4.7831 Å
α = 111.49°, β = 113.57°, γ = 97.80°
Fractional positions:
Tl 0.4618 0.9289 0.8806
Tl 0.1425 0.2540 0.3525
Ge 0.7946 0.7263 0.4990
H 0.7917 0.5267 0.9060
O 0.8206 0.7075 0.8839
O 0.7639 0.3887 0.1848
O 0.5456 0.8483 0.3769
O 0.0666 0.0066 0.6904

Calculated values
Volume in Å³/cell: 132.7
Electronic total energy in eV/atom: -5.1110
Symmetry: P1 (1)
Crystal system: triclinic